Entry 1:
DFT (PBE-GGA) results for a geometry-optimized Sr5Zn2Au5 structure.

a = 8.487 Å, b = 8.487 Å, c = 12.485 Å
α = 129.11°, β = 129.11°, γ = 29.68°
Fractional coordinates of all 12 atoms:
Sr1 0.000 0.000 0.000
Sr2 0.102 0.102 0.417
Sr3 0.199 0.199 0.826
Sr4 0.801 0.801 0.174
Sr5 0.898 0.898 0.583
Zn1 0.354 0.354 0.740
Zn2 0.646 0.646 0.260
Au1 0.262 0.262 0.330
Au2 0.441 0.441 0.146
Au3 0.500 0.500 0.500
Au4 0.559 0.559 0.854
Au5 0.738 0.738 0.670

Computed properties:
For the formation enthalpy at 0 K, the calculation gives -0.636 eV/atom. The calculation puts the density of states at the Fermi level at 5.6 states/eV per cell.

***

Entry 2:
DFT (PBE-GGA) results for a geometry-optimized Sr2ZnAu structure.

a = 7.140 Å, b = 7.140 Å, c = 7.140 Å
α = 107.72°, β = 107.72°, γ = 113.04°
Fractional coordinates of all 8 atoms:
Sr1 0.113 0.625 0.988
Sr2 0.375 0.363 0.488
Sr3 0.637 0.125 0.012
Sr4 0.875 0.887 0.512
Zn1 0.250 0.750 0.500
Zn2 0.500 0.500 0.000
Au1 0.000 0.000 0.000
Au2 0.750 0.250 0.500

Computed properties:
For the formation enthalpy at 0 K, the calculation gives -0.205 eV/atom. The calculation puts the density of states at the Fermi level at 5.5 states/eV per cell.

***

Entry 3:
DFT (PBE-GGA) results for a geometry-optimized SrZnAu11 structure.

a = 7.219 Å, b = 7.219 Å, c = 7.286 Å
α = 97.70°, β = 97.70°, γ = 134.29°
Fractional coordinates of all 13 atoms:
Sr1 0.000 0.000 0.000
Zn1 0.500 0.500 0.500
Au1 0.000 0.000 0.500
Au2 0.000 0.500 0.000
Au3 0.010 0.662 0.650
Au4 0.299 0.514 0.775
Au5 0.338 0.990 0.350
Au6 0.486 0.701 0.225
Au7 0.500 0.000 0.000
Au8 0.514 0.299 0.775
Au9 0.662 0.010 0.650
Au10 0.701 0.486 0.225
Au11 0.990 0.338 0.350

Computed properties:
For the formation enthalpy at 0 K, the calculation gives -0.233 eV/atom. The calculation puts the density of states at the Fermi level at 3.6 states/eV per cell.

***

Entry 4:
DFT (PBE-GGA) results for a geometry-optimized SrZnAu2 structure.

a = 5.136 Å, b = 5.136 Å, c = 4.323 Å
α = 90.00°, β = 90.00°, γ = 114.34°
Fractional coordinates of all 4 atoms:
Sr1 0.000 0.000 0.000
Zn1 0.500 0.500 0.500
Au1 0.000 0.500 0.500
Au2 0.500 0.000 0.500

Computed properties:
For the formation enthalpy at 0 K, the calculation gives -0.488 eV/atom. The calculation puts the density of states at the Fermi level at 2.4 states/eV per cell.

***

Entry 5:
DFT (PBE-GGA) results for a geometry-optimized Sr3Zn8Au structure.

a = 9.692 Å, b = 9.692 Å, c = 9.692 Å
α = 34.10°, β = 34.10°, γ = 34.10°
Fractional coordinates of all 12 atoms:
Sr1 0.000 0.000 0.000
Sr2 0.128 0.128 0.128
Sr3 0.514 0.514 0.514
Zn1 0.063 0.565 0.565
Zn2 0.070 0.070 0.565
Zn3 0.070 0.565 0.070
Zn4 0.315 0.315 0.315
Zn5 0.565 0.063 0.565
Zn6 0.565 0.070 0.070
Zn7 0.565 0.565 0.063
Zn8 0.818 0.818 0.818
Au1 0.642 0.642 0.642

Computed properties:
For the formation enthalpy at 0 K, the calculation gives -0.172 eV/atom. The calculation puts the density of states at the Fermi level at 7.7 states/eV per cell.

***

Entry 6:
DFT (PBE-GGA) results for a geometry-optimized Sr2ZnAu structure.

a = 5.478 Å, b = 5.478 Å, c = 5.478 Å
α = 60.00°, β = 60.00°, γ = 60.00°
Fractional coordinates of all 4 atoms:
Sr1 0.250 0.250 0.250
Sr2 0.750 0.750 0.750
Zn1 0.000 0.000 0.000
Au1 0.500 0.500 0.500

Computed properties:
For the formation enthalpy at 0 K, the calculation gives -0.443 eV/atom. The calculation puts the density of states at the Fermi level at 4.2 states/eV per cell.

***

Entry 7:
DFT (PBE-GGA) results for a geometry-optimized SrZnAu2 structure.

a = 8.055 Å, b = 7.371 Å, c = 6.059 Å
α = 90.00°, β = 90.00°, γ = 90.00°
Fractional coordinates of all 16 atoms:
Sr1 0.030 0.250 0.137
Sr2 0.470 0.750 0.637
Sr3 0.530 0.250 0.363
Sr4 0.970 0.750 0.863
Zn1 0.125 0.750 0.362
Zn2 0.375 0.250 0.862
Zn3 0.625 0.750 0.138
Zn4 0.875 0.250 0.638
Au1 0.176 0.057 0.588
Au2 0.176 0.443 0.588
Au3 0.324 0.557 0.088
Au4 0.324 0.943 0.088
Au5 0.676 0.057 0.912
Au6 0.676 0.443 0.912
Au7 0.824 0.557 0.412
Au8 0.824 0.943 0.412

Computed properties:
For the formation enthalpy at 0 K, the calculation gives -0.581 eV/atom. The calculation puts the density of states at the Fermi level at 7.8 states/eV per cell.

***

Entry 8:
DFT (PBE-GGA) results for a geometry-optimized SrZn5Au2 structure.

a = 6.643 Å, b = 6.643 Å, c = 6.643 Å
α = 143.36°, β = 111.72°, γ = 80.07°
Fractional coordinates of all 8 atoms:
Sr1 0.000 0.000 0.000
Zn1 0.181 0.363 0.817
Zn2 0.454 0.637 0.817
Zn3 0.500 0.000 0.500
Zn4 0.546 0.363 0.183
Zn5 0.819 0.637 0.183
Au1 0.246 0.746 0.500
Au2 0.754 0.254 0.500

Computed properties:
For the formation enthalpy at 0 K, the calculation gives -0.318 eV/atom. The calculation puts the density of states at the Fermi level at 2.6 states/eV per cell.

***

Entry 9:
DFT (PBE-GGA) results for a geometry-optimized SrZn2Au structure.

a = 3.627 Å, b = 3.627 Å, c = 6.806 Å
α = 90.00°, β = 90.00°, γ = 90.00°
Fractional coordinates of all 4 atoms:
Sr1 0.000 0.000 0.000
Zn1 0.500 0.500 0.310
Zn2 0.500 0.500 0.690
Au1 0.000 0.000 0.500

Computed properties:
For the formation enthalpy at 0 K, the calculation gives -0.213 eV/atom. The calculation puts the density of states at the Fermi level at 2.0 states/eV per cell.

***

Entry 10:
DFT (PBE-GGA) results for a geometry-optimized SrZnAu2 structure.

a = 4.118 Å, b = 4.833 Å, c = 5.142 Å
α = 90.00°, β = 90.05°, γ = 90.00°
Fractional coordinates of all 4 atoms:
Sr1 0.000 0.000 0.000
Zn1 0.501 0.500 0.310
Au1 0.500 0.000 0.501
Au2 0.500 0.500 0.814

Computed properties:
For the formation enthalpy at 0 K, the calculation gives -0.520 eV/atom. The calculation puts the density of states at the Fermi level at 1.3 states/eV per cell.

***

Entry 11:
DFT (PBE-GGA) results for a geometry-optimized SrZn2Au structure.

a = 4.523 Å, b = 4.523 Å, c = 6.015 Å
α = 112.00°, β = 112.00°, γ = 59.94°
Fractional coordinates of all 4 atoms:
Sr1 0.000 0.000 0.000
Zn1 0.509 0.509 0.527
Zn2 0.803 0.803 0.411
Au1 0.198 0.198 0.596

Computed properties:
For the formation enthalpy at 0 K, the calculation gives -0.413 eV/atom. The calculation puts the density of states at the Fermi level at 1.2 states/eV per cell.

***

Entry 12:
DFT (PBE-GGA) results for a geometry-optimized Sr3Zn4Au2 structure.

a = 6.245 Å, b = 6.245 Å, c = 8.985 Å
α = 104.09°, β = 104.09°, γ = 43.08°
Fractional coordinates of all 9 atoms:
Sr1 0.000 0.000 0.000
Sr2 0.330 0.330 0.337
Sr3 0.670 0.670 0.663
Zn1 0.050 0.050 0.386
Zn2 0.275 0.275 0.947
Zn3 0.725 0.725 0.053
Zn4 0.950 0.950 0.614
Au1 0.390 0.390 0.726
Au2 0.610 0.610 0.274

Computed properties:
For the formation enthalpy at 0 K, the calculation gives -0.471 eV/atom. The calculation puts the density of states at the Fermi level at 5.0 states/eV per cell.

***

Entry 13:
DFT (PBE-GGA) results for a geometry-optimized Sr2Zn5Au4 structure.

a = 9.712 Å, b = 8.852 Å, c = 5.679 Å
α = 80.67°, β = 64.09°, γ = 35.24°
Fractional coordinates of all 11 atoms:
Sr1 0.141 0.141 0.859
Sr2 0.859 0.859 0.141
Zn1 0.000 0.000 0.500
Zn2 0.250 0.250 0.250
Zn3 0.500 0.500 0.000
Zn4 0.500 0.500 0.500
Zn5 0.750 0.750 0.750
Au1 0.212 0.530 0.470
Au2 0.470 0.788 0.212
Au3 0.530 0.212 0.788
Au4 0.788 0.470 0.530

Computed properties:
For the formation enthalpy at 0 K, the calculation gives -0.455 eV/atom. The calculation puts the density of states at the Fermi level at 4.8 states/eV per cell.

***

Entry 14:
DFT (PBE-GGA) results for a geometry-optimized Sr3Zn9Au2 structure.

a = 8.589 Å, b = 8.589 Å, c = 8.589 Å
α = 149.55°, β = 112.88°, γ = 75.47°
Fractional coordinates of all 14 atoms:
Sr1 0.000 0.000 0.000
Sr2 0.308 0.308 0.000
Sr3 0.692 0.692 0.000
Zn1 0.030 0.675 0.355
Zn2 0.159 0.874 0.285
Zn3 0.320 0.675 0.645
Zn4 0.411 0.126 0.285
Zn5 0.500 0.000 0.500
Zn6 0.589 0.874 0.715
Zn7 0.680 0.325 0.355
Zn8 0.841 0.126 0.715
Zn9 0.970 0.325 0.645
Au1 0.280 0.500 0.780
Au2 0.720 0.500 0.220

Computed properties:
For the formation enthalpy at 0 K, the calculation gives -0.308 eV/atom. The calculation puts the density of states at the Fermi level at 6.3 states/eV per cell.

***

Entry 15:
DFT (PBE-GGA) results for a geometry-optimized Sr2ZnAu structure.

a = 3.823 Å, b = 3.823 Å, c = 8.488 Å
α = 90.00°, β = 90.00°, γ = 90.00°
Fractional coordinates of all 4 atoms:
Sr1 0.000 0.000 0.000
Sr2 0.500 0.500 0.408
Zn1 0.000 0.000 0.633
Au1 0.500 0.500 0.782

Computed properties:
For the formation enthalpy at 0 K, the calculation gives -0.329 eV/atom. The calculation puts the density of states at the Fermi level at 1.9 states/eV per cell.

***

Entry 16:
DFT (PBE-GGA) results for a geometry-optimized Sr6ZnAu2 structure.

a = 5.550 Å, b = 7.620 Å, c = 8.814 Å
α = 83.54°, β = 71.91°, γ = 68.73°
Fractional coordinates of all 9 atoms:
Sr1 0.040 0.258 0.162
Sr2 0.298 0.742 0.162
Sr3 0.368 0.265 0.500
Sr4 0.632 0.735 0.500
Sr5 0.702 0.258 0.838
Sr6 0.960 0.742 0.838
Zn1 0.000 0.000 0.500
Au1 0.339 0.000 0.823
Au2 0.661 0.000 0.177

Computed properties:
For the formation enthalpy at 0 K, the calculation gives -0.389 eV/atom. The calculation puts the density of states at the Fermi level at 9.2 states/eV per cell.

***

Entry 17:
DFT (PBE-GGA) results for a geometry-optimized SrZnAu2 structure.

a = 4.577 Å, b = 4.577 Å, c = 5.923 Å
α = 112.85°, β = 112.85°, γ = 60.22°
Fractional coordinates of all 4 atoms:
Sr1 0.000 0.000 0.000
Zn1 0.500 0.500 0.500
Au1 0.207 0.207 0.622
Au2 0.793 0.793 0.378

Computed properties:
For the formation enthalpy at 0 K, the calculation gives -0.568 eV/atom. The calculation puts the density of states at the Fermi level at 1.7 states/eV per cell.

***

Entry 18:
DFT (PBE-GGA) results for a geometry-optimized Sr2Zn5Au structure.

a = 8.737 Å, b = 8.737 Å, c = 9.325 Å
α = 90.00°, β = 90.00°, γ = 149.89°
Fractional coordinates of all 16 atoms:
Sr1 0.000 0.000 0.000
Sr2 0.000 0.000 0.500
Sr3 0.198 0.802 0.750
Sr4 0.802 0.198 0.250
Zn1 0.186 0.814 0.113
Zn2 0.186 0.814 0.387
Zn3 0.343 0.657 0.015
Zn4 0.343 0.657 0.485
Zn5 0.399 0.601 0.750
Zn6 0.601 0.399 0.250
Zn7 0.657 0.343 0.515
Zn8 0.657 0.343 0.985
Zn9 0.814 0.186 0.613
Zn10 0.814 0.186 0.887
Au1 0.442 0.558 0.250
Au2 0.558 0.442 0.750

Computed properties:
For the formation enthalpy at 0 K, the calculation gives -0.340 eV/atom. The calculation puts the density of states at the Fermi level at 7.9 states/eV per cell.

***

Entry 19:
DFT (PBE-GGA) results for a geometry-optimized SrZn6Au6 structure.

a = 7.118 Å, b = 7.118 Å, c = 7.118 Å
α = 136.37°, β = 99.73°, γ = 96.15°
Fractional coordinates of all 13 atoms:
Sr1 0.000 0.000 0.000
Zn1 0.000 0.000 0.500
Zn2 0.000 0.500 0.000
Zn3 0.238 0.500 0.738
Zn4 0.500 0.000 0.000
Zn5 0.500 0.500 0.500
Zn6 0.762 0.500 0.262
Au1 0.188 0.688 0.500
Au2 0.341 0.000 0.341
Au3 0.345 0.345 0.000
Au4 0.655 0.655 0.000
Au5 0.659 0.000 0.659
Au6 0.812 0.312 0.500

Computed properties:
For the formation enthalpy at 0 K, the calculation gives -0.320 eV/atom. The calculation puts the density of states at the Fermi level at 2.6 states/eV per cell.

***

Entry 20:
DFT (PBE-GGA) results for a geometry-optimized SrZnAu structure.

a = 6.009 Å, b = 6.009 Å, c = 7.686 Å
α = 128.30°, β = 128.30°, γ = 45.98°
Fractional coordinates of all 6 atoms:
Sr1 0.048 0.048 0.303
Sr2 0.952 0.952 0.697
Zn1 0.336 0.336 0.901
Zn2 0.664 0.664 0.099
Au1 0.324 0.324 0.269
Au2 0.676 0.676 0.731

Computed properties:
For the formation enthalpy at 0 K, the calculation gives -0.562 eV/atom. The calculation puts the density of states at the Fermi level at 2.4 states/eV per cell.

***

Entry 21:
DFT (PBE-GGA) results for a geometry-optimized SrZn2Au structure.

a = 4.225 Å, b = 4.699 Å, c = 5.077 Å
α = 90.00°, β = 90.11°, γ = 90.00°
Fractional coordinates of all 4 atoms:
Sr1 0.000 0.000 0.000
Zn1 0.498 0.500 0.749
Zn2 0.502 0.500 0.251
Au1 0.500 0.000 0.500

Computed properties:
For the formation enthalpy at 0 K, the calculation gives -0.348 eV/atom. The calculation puts the density of states at the Fermi level at 2.1 states/eV per cell.

***

Entry 22:
DFT (PBE-GGA) results for a geometry-optimized Sr2ZnAu structure.

a = 3.896 Å, b = 3.855 Å, c = 7.765 Å
α = 90.00°, β = 90.19°, γ = 90.00°
Fractional coordinates of all 4 atoms:
Sr1 0.000 0.000 0.244
Sr2 0.000 0.000 0.756
Zn1 0.500 0.500 0.500
Au1 0.500 0.500 0.000

Computed properties:
For the formation enthalpy at 0 K, the calculation gives -0.454 eV/atom. The calculation puts the density of states at the Fermi level at 3.3 states/eV per cell.

***

Entry 23:
DFT (PBE-GGA) results for a geometry-optimized SrZn2Au structure.

a = 5.049 Å, b = 5.049 Å, c = 5.049 Å
α = 120.75°, β = 120.75°, γ = 88.71°
Fractional coordinates of all 4 atoms:
Sr1 0.000 0.000 0.000
Zn1 0.250 0.750 0.500
Zn2 0.500 0.500 0.000
Au1 0.750 0.250 0.500

Computed properties:
For the formation enthalpy at 0 K, the calculation gives -0.232 eV/atom. The calculation puts the density of states at the Fermi level at 2.3 states/eV per cell.

***

Entry 24:
DFT (PBE-GGA) results for a geometry-optimized Sr2ZnAu structure.

a = 4.578 Å, b = 4.589 Å, c = 6.467 Å
α = 90.00°, β = 90.00°, γ = 90.00°
Fractional coordinates of all 4 atoms:
Sr1 0.000 0.000 0.000
Sr2 0.500 0.500 0.498
Zn1 0.500 0.500 0.997
Au1 0.000 0.000 0.500

Computed properties:
For the formation enthalpy at 0 K, the calculation gives -0.362 eV/atom. The calculation puts the density of states at the Fermi level at 3.2 states/eV per cell.

***

Entry 25:
DFT (PBE-GGA) results for a geometry-optimized Sr4Zn2Au structure.

a = 8.726 Å, b = 8.726 Å, c = 8.726 Å
α = 138.76°, β = 138.76°, γ = 59.74°
Fractional coordinates of all 7 atoms:
Sr1 0.000 0.500 0.500
Sr2 0.206 0.206 0.000
Sr3 0.500 0.000 0.500
Sr4 0.794 0.794 0.000
Zn1 0.416 0.416 0.000
Zn2 0.584 0.584 0.000
Au1 0.000 0.000 0.000

Computed properties:
For the formation enthalpy at 0 K, the calculation gives -0.197 eV/atom. The calculation puts the density of states at the Fermi level at 7.3 states/eV per cell.

***

Per-record V, Å³/f.u.: 337.4; 139.7; 255.1; 103.9; 255.1; 116.2; 89.9; 158.4; 89.5; 102.3; 96.0; 231.0; 234.9; 291.0; 124.1; 330.1; 96.2; 178.5; 230.8; 73.8; 100.8; 116.6; 90.0; 135.9; 285.8